The following is a PBE-GGA calculation of an optimized crystal structure of InBiBr2, from Alexandria. Values from VASP.

```
&SYSTEM
  ibrav = 0, nat = 8, ntyp = 3
/
ATOMIC_SPECIES
In 114.82 In.upf
Bi 208.98 Bi.upf
Br 79.90 Br.upf
ATOMIC_POSITIONS crystal
In 0.0000 0.0000 0.0000
In 0.7500 0.2500 0.5000
Bi 0.2500 0.7500 0.5000
Bi 0.5000 0.5000 0.0000
Br 0.1394 0.6250 0.0144
Br 0.3750 0.3894 0.5144
Br 0.6106 0.1250 0.9856
Br 0.8750 0.8606 0.4856
CELL_PARAMETERS angstrom
-2.5247 2.5247 10.1819
2.5247 -2.5247 10.1819
2.5247 2.5247 -10.1819
```

Calculated values
As for the space group: I-42d (122). The total moment comes out at 0.000 μB/atom. The calculation puts the uncorrected formation energy at -0.22 eV/atom. As for the density of states at the Fermi level: 0.524 states/eV/atom. The energy above the most stable polymorph in this dataset comes out at 167.1 meV per atom. For the volume, the calculation gives 32.4 Å³ per atom.

The following is a PBE-GGA calculation of an optimized crystal structure of InBi3Br, from Alexandria. Values from VASP.

```
&SYSTEM
  ibrav = 0, nat = 5, ntyp = 3
/
ATOMIC_SPECIES
In 114.82 In.upf
Bi 208.98 Bi.upf
Br 79.90 Br.upf
ATOMIC_POSITIONS crystal
In 0.0000 0.0000 0.0000
Bi 0.0000 0.5000 0.5000
Bi 0.5000 0.0000 0.5000
Bi 0.5000 0.5000 0.0000
Br 0.5000 0.5000 0.5000
CELL_PARAMETERS angstrom
5.7777 0.0000 0.0000
0.0000 5.7777 0.0000
0.0000 0.0000 5.7777
```

Calculated values
As for the space group: Pm-3m (221). The total moment comes out at 0.000 μB/atom. The calculation puts the uncorrected formation energy at 0.66 eV/atom. As for the density of states at the Fermi level: 2.080 states/eV/atom. The energy above the most stable polymorph in this dataset comes out at 768.1 meV per atom. For the volume, the calculation gives 38.6 Å³ per atom.

The following is a PBE-GGA calculation of an optimized crystal structure of InBiBr2, from Alexandria. Values from VASP.

```
&SYSTEM
  ibrav = 0, nat = 4, ntyp = 3
/
ATOMIC_SPECIES
In 114.82 In.upf
Bi 208.98 Bi.upf
Br 79.90 Br.upf
ATOMIC_POSITIONS crystal
In 0.0000 0.0000 0.0000
Bi 0.5000 0.5000 0.5000
Br 0.2500 0.2500 0.2500
Br 0.7500 0.7500 0.7500
CELL_PARAMETERS angstrom
0.0000 3.9012 3.9012
3.9012 0.0000 3.9012
3.9012 3.9012 0.0000
```

Calculated values
As for the space group: Fm-3m (225). The total moment comes out at 0.000 μB/atom. The calculation puts the uncorrected formation energy at -0.10 eV/atom. As for the density of states at the Fermi level: 1.046 states/eV/atom. The energy above the most stable polymorph in this dataset comes out at 286.3 meV per atom. For the volume, the calculation gives 29.7 Å³ per atom.

The following is a PBE-GGA calculation of an optimized crystal structure of In2BiBr6, from Alexandria. Values from VASP.

```
&SYSTEM
  ibrav = 0, nat = 9, ntyp = 3
/
ATOMIC_SPECIES
In 114.82 In.upf
Bi 208.98 Bi.upf
Br 79.90 Br.upf
ATOMIC_POSITIONS crystal
In 0.1663 0.1663 0.0000
In 0.8337 0.8337 0.0000
Bi 0.5000 0.5000 0.0000
Br 0.0999 0.3441 0.7558
Br 0.2701 0.0000 0.2701
Br 0.4117 0.6559 0.7558
Br 0.5883 0.3441 0.2442
Br 0.7299 0.0000 0.7299
Br 0.9001 0.6559 0.2442
CELL_PARAMETERS angstrom
-2.6183 3.7106 7.7710
2.6183 -3.7106 7.7710
2.6183 3.7106 -7.7710
```

Calculated values
As for the space group: Immm (71). The total moment comes out at 0.000 μB/atom. The calculation puts the uncorrected formation energy at -0.55 eV/atom. As for the density of states at the Fermi level: 0.755 states/eV/atom. The energy above the most stable polymorph in this dataset comes out at 88.8 meV per atom. For the volume, the calculation gives 33.6 Å³ per atom.

The following is a PBE-GGA calculation of an optimized crystal structure of In5Bi2Br12, from Alexandria. Values from VASP.

```
&SYSTEM
  ibrav = 0, nat = 19, ntyp = 3
/
ATOMIC_SPECIES
In 114.82 In.upf
Bi 208.98 Bi.upf
Br 79.90 Br.upf
ATOMIC_POSITIONS crystal
In 0.0000 0.0000 0.0000
In 0.2733 0.2733 0.5433
In 0.3486 0.3486 0.0007
In 0.6514 0.6514 0.9993
In 0.7267 0.7267 0.4567
Bi 0.2270 0.7730 0.5000
Bi 0.7730 0.2270 0.5000
Br 0.0737 0.6952 0.6822
Br 0.0943 0.0943 0.7131
Br 0.1403 0.5067 0.2305
Br 0.3048 0.9263 0.3178
Br 0.4777 0.4777 0.7095
Br 0.4933 0.8597 0.7695
Br 0.5067 0.1403 0.2305
Br 0.5223 0.5223 0.2905
Br 0.6952 0.0737 0.6822
Br 0.8597 0.4933 0.7695
Br 0.9057 0.9057 0.2869
Br 0.9263 0.3048 0.3178
CELL_PARAMETERS angstrom
8.3698 -5.3524 0.0000
8.3698 5.3524 0.0000
-3.4917 0.0000 7.3705
```

Calculated values
As for the space group: C2/m (12). The total moment comes out at 0.000 μB/atom. The calculation puts the uncorrected formation energy at -0.62 eV/atom. As for the density of states at the Fermi level: 0.335 states/eV/atom. The energy above the most stable polymorph in this dataset comes out at 46.6 meV per atom. For the volume, the calculation gives 34.8 Å³ per atom.

The following is a PBE-GGA calculation of an optimized crystal structure of InBiBr6, from Alexandria. Values from VASP.

```
&SYSTEM
  ibrav = 0, nat = 8, ntyp = 3
/
ATOMIC_SPECIES
In 114.82 In.upf
Bi 208.98 Bi.upf
Br 79.90 Br.upf
ATOMIC_POSITIONS crystal
In 0.0000 0.0000 0.0000
Bi 0.5000 0.5000 0.5000
Br 0.0725 0.7615 0.4087
Br 0.2385 0.5913 0.9275
Br 0.4087 0.0725 0.7615
Br 0.5913 0.9275 0.2385
Br 0.7615 0.4087 0.0725
Br 0.9275 0.2385 0.5913
CELL_PARAMETERS angstrom
3.4995 2.0204 6.3207
-3.4995 2.0204 6.3207
0.0000 -4.0408 6.3207
```

Calculated values
As for the space group: R-3 (148). The total moment comes out at 0.000 μB/atom. The calculation puts the uncorrected formation energy at -0.70 eV/atom. As for the density of states at the Fermi level: 0.000 states/eV/atom. For the volume, the calculation gives 33.5 Å³ per atom.

The following is a PBE-GGA calculation of an optimized crystal structure of In2BiBr5, from Alexandria. Values from VASP.

```
&SYSTEM
  ibrav = 0, nat = 8, ntyp = 3
/
ATOMIC_SPECIES
In 114.82 In.upf
Bi 208.98 Bi.upf
Br 79.90 Br.upf
ATOMIC_POSITIONS crystal
In 0.0000 0.0000 0.0000
In 0.3968 0.7002 0.5180
Bi 0.1704 0.3500 0.2589
Br 0.1628 0.1165 0.5885
Br 0.2500 0.5835 0.9294
Br 0.4292 0.0063 0.1362
Br 0.7221 0.3499 0.2588
Br 0.9663 0.6935 0.3817
CELL_PARAMETERS angstrom
6.1519 0.0000 0.0000
3.0707 7.1201 0.0000
2.9882 2.0503 8.1303
```

Calculated values
As for the space group: P1 (1). The total moment comes out at 0.000 μB/atom. The calculation puts the uncorrected formation energy at -0.68 eV/atom. The energy above the most stable polymorph in this dataset comes out at 0.0 meV per atom. For the volume, the calculation gives 44.5 Å³ per atom.

The following is a PBE-GGA calculation of an optimized crystal structure of InBiIrBr2, from Alexandria. Values from VASP.

```
&SYSTEM
  ibrav = 0, nat = 5, ntyp = 4
/
ATOMIC_SPECIES
In 114.82 In.upf
Bi 208.98 Bi.upf
Ir 192.22 Ir.upf
Br 79.90 Br.upf
ATOMIC_POSITIONS crystal
In 0.0000 0.0000 0.0000
Bi 0.5000 0.5000 0.0000
Ir 0.0000 0.0000 0.5000
Br 0.0000 0.5000 0.5000
Br 0.5000 0.0000 0.5000
CELL_PARAMETERS angstrom
5.1146 0.0000 0.0000
0.0000 5.1146 0.0000
0.0000 0.0000 5.3878
```

Calculated values
As for the space group: P4/mmm (123). The total moment comes out at 0.000 μB/atom. The calculation puts the uncorrected formation energy at 0.38 eV/atom. As for the density of states at the Fermi level: 0.930 states/eV/atom. The energy above the most stable polymorph in this dataset comes out at 157.1 meV per atom. For the volume, the calculation gives 28.2 Å³ per atom.

The following is a PBE-GGA calculation of an optimized crystal structure of InBiIrBr2, from Alexandria. Values from VASP.

```
&SYSTEM
  ibrav = 0, nat = 5, ntyp = 4
/
ATOMIC_SPECIES
In 114.82 In.upf
Bi 208.98 Bi.upf
Ir 192.22 Ir.upf
Br 79.90 Br.upf
ATOMIC_POSITIONS crystal
In 0.0000 0.0000 0.0000
Bi 0.5000 0.5000 0.0000
Ir 0.5000 0.5000 0.5000
Br 0.0000 0.5000 0.5000
Br 0.5000 0.0000 0.5000
CELL_PARAMETERS angstrom
5.1906 0.0000 0.0000
0.0000 5.1906 0.0000
0.0000 0.0000 5.4219
```

Calculated values
As for the space group: P4/mmm (123). The total moment comes out at 0.000 μB/atom. The calculation puts the uncorrected formation energy at 0.22 eV/atom. As for the density of states at the Fermi level: 0.944 states/eV/atom. The energy above the most stable polymorph in this dataset comes out at 0.0 meV per atom. For the volume, the calculation gives 29.2 Å³ per atom.

The following is a PBE-GGA calculation of an optimized crystal structure of KIn2BiBr6, from Alexandria. Values from VASP.

```
&SYSTEM
  ibrav = 0, nat = 20, ntyp = 4
/
ATOMIC_SPECIES
K 39.10 K.upf
In 114.82 In.upf
Bi 208.98 Bi.upf
Br 79.90 Br.upf
ATOMIC_POSITIONS crystal
K 0.0000 0.0000 0.0000
K 0.0000 0.5000 0.5000
In 0.2000 0.0737 0.7267
In 0.2000 0.4263 0.2267
In 0.8000 0.5737 0.7733
In 0.8000 0.9263 0.2733
Bi 0.5000 0.0000 0.5000
Bi 0.5000 0.5000 0.0000
Br 0.1438 0.1651 0.4629
Br 0.1438 0.3349 0.9629
Br 0.2520 0.7266 0.4107
Br 0.2520 0.7734 0.9107
Br 0.4047 0.0779 0.2659
Br 0.4047 0.4221 0.7659
Br 0.5953 0.5779 0.2341
Br 0.5953 0.9221 0.7341
Br 0.7480 0.2266 0.0893
Br 0.7480 0.2734 0.5893
Br 0.8562 0.6651 0.0371
Br 0.8562 0.8349 0.5371
CELL_PARAMETERS angstrom
7.6579 0.0000 0.0000
0.0000 8.7905 0.0000
-7.0167 0.0000 11.3675
```

Calculated values
As for the space group: P2_1/c (14). The total moment comes out at 0.000 μB/atom. The calculation puts the uncorrected formation energy at -0.92 eV/atom. As for the density of states at the Fermi level: 0.000 states/eV/atom. For the volume, the calculation gives 38.3 Å³ per atom.

The following is a PBE-GGA calculation of an optimized crystal structure of LiIn2BiBr6, from Alexandria. Values from VASP.

```
&SYSTEM
  ibrav = 0, nat = 20, ntyp = 4
/
ATOMIC_SPECIES
Li 6.94 Li.upf
In 114.82 In.upf
Bi 208.98 Bi.upf
Br 79.90 Br.upf
ATOMIC_POSITIONS crystal
Li 0.0000 0.0000 0.0000
Li 0.0000 0.5000 0.5000
In 0.2209 0.0843 0.7482
In 0.2209 0.4157 0.2482
In 0.7791 0.5843 0.7518
In 0.7791 0.9157 0.2518
Bi 0.5000 0.0000 0.5000
Bi 0.5000 0.5000 0.0000
Br 0.1391 0.1983 0.4520
Br 0.1391 0.3017 0.9520
Br 0.2592 0.6948 0.4533
Br 0.2592 0.8052 0.9533
Br 0.3435 0.0194 0.2434
Br 0.3435 0.4806 0.7434
Br 0.6565 0.5194 0.2566
Br 0.6565 0.9806 0.7566
Br 0.7408 0.1948 0.0467
Br 0.7408 0.3052 0.5467
Br 0.8609 0.6983 0.0480
Br 0.8609 0.8017 0.5480
CELL_PARAMETERS angstrom
7.5342 0.0000 0.0000
0.0000 8.0141 0.0000
-7.4577 0.0000 10.8786
```

Calculated values
As for the space group: P2_1/c (14). The total moment comes out at 0.000 μB/atom. The calculation puts the uncorrected formation energy at -0.85 eV/atom. As for the density of states at the Fermi level: 0.000 states/eV/atom. For the volume, the calculation gives 32.8 Å³ per atom.

The following is a PBE-GGA calculation of an optimized crystal structure of Li2InBiBr6, from Alexandria. Values from VASP.

```
&SYSTEM
  ibrav = 0, nat = 10, ntyp = 4
/
ATOMIC_SPECIES
Li 6.94 Li.upf
In 114.82 In.upf
Bi 208.98 Bi.upf
Br 79.90 Br.upf
ATOMIC_POSITIONS crystal
Li 0.0000 0.0000 0.0000
Li 0.3405 0.3403 0.9786
In 0.1699 0.1711 0.4893
Bi 0.6704 0.6703 0.9891
Br 0.0800 0.7362 0.7900
Br 0.2607 0.6044 0.1884
Br 0.3940 0.0799 0.7900
Br 0.6044 0.9466 0.1884
Br 0.7361 0.3940 0.7900
Br 0.9467 0.2606 0.1884
CELL_PARAMETERS angstrom
7.0608 0.0000 0.0000
3.5301 6.1151 0.0000
3.5302 2.0374 7.9062
```

Calculated values
As for the space group: P1 (1). The total moment comes out at 0.000 μB/atom. The calculation puts the uncorrected formation energy at -1.04 eV/atom. As for the density of states at the Fermi level: 0.000 states/eV/atom. For the volume, the calculation gives 34.1 Å³ per atom.